# 1
Here is a relaxed Ta2CoMo2 crystal from Alexandria. Energies are from GGA-PBE.

Lattice parameters (Å, degrees): 6.5411 6.5411 6.5411 144.11 144.11 51.67
Last column: magnetic moment on the atom in μB.
Element x y z (fractional)
Ta 0.2500 0.7500 0.5000  0.04
Ta 0.7500 0.2500 0.5000  0.04
Co 0.0000 0.0000 0.0000  1.96
Mo 0.6019 0.6019 0.0000  0.29
Mo 0.3981 0.3981 0.0000  0.29

Calculated values
The theoretical density comes out at 10.6 Mg/m³. Its crystal system is tetragonal.

# 2
Here is a relaxed TaCo2Mo crystal from Alexandria. Energies are from GGA-PBE.

Lattice parameters (Å, degrees): 3.1287 3.1287 5.6433 90.00 90.00 90.00
Element x y z (fractional)
Co 0.0000 0.0000 0.0027
Co 0.5000 0.5000 0.2554
Mo 0.0000 0.0000 0.4621
Ta 0.5000 0.5000 0.7798

Calculated values
The theoretical density comes out at 11.9 Mg/m³. The relative energy among the computed polymorphs is 0.049 eV per atom. Its crystal system is tetragonal.

# 3
Here is a relaxed TaCo2Mo crystal from Alexandria. Energies are from GGA-PBE.

Lattice parameters (Å, degrees): 4.5773 4.5773 4.5773 130.46 130.37 72.74
Element x y z (fractional)
Co 0.0000 0.0000 0.0000
Co 0.5000 0.5000 0.0000
Mo 0.7500 0.2500 0.5000
Ta 0.2500 0.7500 0.5000

Calculated values
The theoretical density comes out at 12.1 Mg/m³. The relative energy among the computed polymorphs is 0.009 eV per atom. Its crystal system is tetragonal.

| no. | VASP energy (eV/atom) | formation energy from the elements (eV per atom) |
| --- | --- | --- |
| 1 | -9.345 | 1.149 |
| 2 | -9.228 | -0.004 |
| 3 | -9.269 | -0.045 |